Entry 1:
DFT (PBE-GGA) results for crystalline PuThC at its relaxed geometry. Values from VASP.

Geometry as Quantum ESPRESSO input:
```
&SYSTEM
  ibrav = 0, nat = 6, ntyp = 3
/
ATOMIC_SPECIES
C 12.01 C.upf
Th 232.04 Th.upf
Pu 244.00 Pu.upf
ATOMIC_POSITIONS crystal
C 0.000 0.500 0.000
Th 0.500 0.327 0.250
C 0.000 0.500 0.500
Th 0.500 0.673 0.750
Pu 0.000 0.806 0.250
Pu 0.000 0.194 0.750
CELL_PARAMETERS angstrom
-1.053 0.137 3.516
-1.508 -5.718 -0.229
5.671 -1.565 1.759
```

Output
For the electronic total energy, the calculation gives -62.12 eV/cell. The offset from the most stable computed form is 0.072 eV/f.u. The energy of formation is -0.08 eV/f.u. The total magnetic moment comes out at 11.88 μB/cell.

=====

Entry 2:
DFT (PBE-GGA) results for crystalline PuTh5C4 at its relaxed geometry. Values from VASP.

Geometry as Quantum ESPRESSO input:
```
&SYSTEM
  ibrav = 0, nat = 10, ntyp = 3
/
ATOMIC_SPECIES
Th 232.04 Th.upf
C 12.01 C.upf
Pu 244.00 Pu.upf
ATOMIC_POSITIONS crystal
Th 0.163 0.841 0.326
C 0.997 0.758 0.994
C 0.667 0.081 0.334
Th 0.837 0.159 0.674
C 0.333 0.919 0.666
Th 0.841 0.690 0.682
C 0.003 0.242 0.006
Th 0.159 0.310 0.318
Pu 0.500 0.000 0.000
Th 0.500 0.500 0.000
CELL_PARAMETERS angstrom
-2.205 -2.054 -2.085
5.763 -4.386 -1.774
-1.835 -2.546 7.671
```

Output
For the electronic total energy, the calculation gives -90.18 eV/cell. The energy of formation is -1.86 eV/f.u. The total magnetic moment comes out at 4.78 μB/cell.